[1]
Compound: YRhAu
Source: Alexandria
Functional: PBE-GGA
Structure: relaxed

Lattice parameters (Å, degrees): 5.2796 5.2796 5.2796 141.64 139.07 57.34
Closest atoms and distances in Å follow each position.
Atoms (fractional coordinates):
Y  0.0000  0.0000  0.0000  5 Rh 2.93-3.16, 5 Au 2.99-3.02
Rh  0.3406  0.3406  0.0000  5 Y 2.93-3.16, 5 Au 2.95-3.12
Au  0.6776  0.6776  0.0000  5 Rh 2.95-3.12, 5 Y 2.99-3.02

Summary:
Final energy = -0.23190 hartree per atom
E_form = -0.61 eV per atom


[2]
Compound: Zn2GeSb
Source: Alexandria
Functional: PBE-GGA
Structure: relaxed

Lattice parameters (Å, degrees): 4.8460 4.8460 4.8460 60.00 60.00 60.00
Closest atoms and distances in Å follow each position.
Atoms (fractional coordinates):
Zn  0.2500  0.2500  0.2500  4 Sb 2.97, 4 Ge 2.97
Zn  0.7500  0.7500  0.7500  4 Sb 2.97, 4 Ge 2.97
Ge  0.0000  0.0000  0.0000  8 Zn 2.97
Sb  0.5000  0.5000  0.5000  8 Zn 2.97

Summary:
Final energy = -0.09419 hartree per atom
ΔE_f (raw) = 0.259 eV per atom
Offset from the most stable computed form = 0.43 eV/f.u.


[3]
Compound: Pr4CBrCl2
Source: Alexandria
Functional: PBE-GGA
Structure: relaxed

Lattice parameters (Å, degrees): 7.0276 3.9404 7.6577 90.00 107.07 90.00
Closest atoms and distances in Å follow each position.
Atoms (fractional coordinates):
Pr  0.2069  0.0000  0.1945  2 C 2.63, 1 Cl 2.87
Pr  0.2288  0.5000  0.7991  1 C 2.53
Pr  0.7712  0.5000  0.2009  1 C 2.53
Pr  0.7931  0.0000  0.8055  2 C 2.63, 1 Cl 2.87
C  0.0000  0.5000  0.0000  6 Pr 2.53-2.63
Br  0.0000  0.0000  0.5000  6 Pr 3.09-3.10
Cl  0.5000  0.0000  0.0000  6 Pr 2.86-2.87
Cl  0.5000  0.5000  0.5000  6 Pr 3.28-3.38

Summary:
Final energy = -0.19519 hartree per atom
ΔE_f (raw) = -1.098 eV per atom


[4]
Compound: LaTaC2
Source: Alexandria
Functional: PBE-GGA
Structure: relaxed

Lattice parameters (Å, degrees): 6.2946 6.2946 6.2946 30.98 30.98 30.98
Closest atoms and distances in Å follow each position.
Atoms (fractional coordinates):
La  0.0000  0.0000  0.0000  6 C 2.66
Ta  0.5000  0.5000  0.5000  6 C 2.27
C  0.2323  0.2323  0.2323  3 Ta 2.27
C  0.7677  0.7677  0.7677  3 Ta 2.27

Summary:
Final energy = -0.33038 hartree per atom
E_form = -0.18 eV per atom
Offset from the most stable computed form = 0.00 eV/f.u.


[5]
Compound: Tb8Te4Pt3Se
Source: Alexandria
Functional: PBE-GGA
Structure: relaxed

Lattice parameters (Å, degrees): 8.7207 8.7207 8.7207 57.53 57.53 57.53
Closest atoms and distances in Å follow each position.
Atoms (fractional coordinates):
Tb  0.2276  0.7450  0.7450  2 Pt 2.86, 1 Se 2.96, 1 Te 3.11
Tb  0.2360  0.2360  0.2360  3 Pt 2.85
Tb  0.2550  0.2550  0.7724  2 Pt 2.86, 1 Se 2.96, 1 Te 3.11
Tb  0.2550  0.7724  0.2550  2 Pt 2.86, 1 Se 2.96, 1 Te 3.11
Tb  0.7450  0.2276  0.7450  2 Pt 2.86, 1 Se 2.96, 1 Te 3.11
Tb  0.7450  0.7450  0.2276  2 Pt 2.86, 1 Se 2.96, 1 Te 3.11
Tb  0.7640  0.7640  0.7640  3 Pt 2.85
Tb  0.7724  0.2550  0.2550  2 Pt 2.86, 1 Se 2.96, 1 Te 3.11
Te  0.0000  0.0000  0.0000  6 Tb 3.11
Te  0.0000  0.5000  0.5000  6 Tb 3.21-3.22
Te  0.5000  0.0000  0.5000  6 Tb 3.21-3.22
Te  0.5000  0.5000  0.0000  6 Tb 3.21-3.22
Pt  0.0000  0.0000  0.5000  6 Tb 2.85-2.86
Pt  0.0000  0.5000  0.0000  6 Tb 2.85-2.86
Pt  0.5000  0.0000  0.0000  6 Tb 2.85-2.86
Se  0.5000  0.5000  0.5000  6 Tb 2.96

Summary:
Final energy = -0.21324 hartree per atom
ΔE_f (raw) = -1.352 eV per atom


[6]
Compound: Sm5Tl3
Source: Alexandria
Functional: PBE-GGA
Structure: relaxed

Lattice parameters (Å, degrees): 8.9361 8.9361 8.9361 121.62 121.62 87.22
Closest atoms and distances in Å follow each position.
Atoms (fractional coordinates):
Sm  0.0000  0.0000  0.0000  6 Tl 3.23-3.33
Sm  0.0014  0.5014  0.8061  3 Tl 3.15-3.27, 1 Sm 3.49
Sm  0.1953  0.0014  0.5000  3 Tl 3.15-3.27, 1 Sm 3.49
Sm  0.3047  0.8047  0.8061  3 Tl 3.15-3.27, 1 Sm 3.49
Sm  0.4986  0.3047  0.5000  3 Tl 3.15-3.27, 1 Sm 3.49
Sm  0.5000  0.5000  0.0000  6 Tl 3.23-3.33
Sm  0.5014  0.6953  0.5000  3 Tl 3.15-3.27, 1 Sm 3.49
Sm  0.6953  0.1953  0.1939  3 Tl 3.15-3.27, 1 Sm 3.49
Sm  0.8047  0.9986  0.5000  3 Tl 3.15-3.27, 1 Sm 3.49
Sm  0.9986  0.4986  0.1939  3 Tl 3.15-3.27, 1 Sm 3.49
Tl  0.1468  0.3532  0.5000  8 Sm 3.15-3.33
Tl  0.2500  0.2500  0.0000  10 Sm 3.23-3.54
Tl  0.3532  0.8532  0.2064  8 Sm 3.15-3.33
Tl  0.6468  0.1468  0.7936  8 Sm 3.15-3.33
Tl  0.7500  0.7500  0.0000  10 Sm 3.23-3.54
Tl  0.8532  0.6468  0.5000  8 Sm 3.15-3.33

Summary:
Final energy = -0.15161 hartree per atom
E_form = -0.29 eV per atom
Offset from the most stable computed form = 0.21 eV/f.u.


[7]
Compound: MgPaPbO6
Source: Alexandria
Functional: PBE-GGA
Structure: relaxed

Lattice parameters (Å, degrees): 5.4359 5.4359 4.8141 90.00 90.00 120.00
Closest atoms and distances in Å follow each position.
Atoms (fractional coordinates):
Mg  0.0000  0.0000  0.0000  6 O 2.12
Pa  0.6667  0.3333  0.5000  6 O 2.19
Pb  0.3333  0.6667  0.0000  6 O 2.19
O  0.3297  0.0069  0.2415  1 Mg 2.12, 1 Pa 2.19, 1 Pb 2.19
O  0.3297  0.3228  0.7585  1 Mg 2.12, 1 Pa 2.19, 1 Pb 2.19
O  0.6772  0.0069  0.7585  1 Mg 2.12, 1 Pa 2.19, 1 Pb 2.19
O  0.6772  0.6703  0.2415  1 Mg 2.12, 1 Pa 2.19, 1 Pb 2.19
O  0.9931  0.3228  0.2415  1 Mg 2.12, 1 Pa 2.19, 1 Pb 2.19
O  0.9931  0.6703  0.7585  1 Mg 2.12, 1 Pa 2.19, 1 Pb 2.19

Summary:
Final energy = -0.26009 hartree per atom
ΔE_f (raw) = -2.128 eV per atom


[8]
Compound: LiTbCeLu
Source: Alexandria
Functional: PBE-GGA
Structure: relaxed

Lattice parameters (Å, degrees): 5.4381 5.4381 5.4381 60.00 60.00 60.00
Closest atoms and distances in Å follow each position.
Atoms (fractional coordinates):
Li  0.0000  0.0000  0.0000  4 Tb 3.33, 4 Ce 3.33
Tb  0.7500  0.7500  0.7500  4 Lu 3.33, 4 Li 3.33
Ce  0.2500  0.2500  0.2500  4 Li 3.33, 4 Lu 3.33
Lu  0.5000  0.5000  0.5000  4 Tb 3.33, 4 Ce 3.33

Summary:
Final energy = -0.14797 hartree per atom
E_form = 0.22 eV per atom


- Which formula does entry 1 have?
  YRhAu


- Which of these has the lowest final energy?
  LaTaC2